Compound: LiNpReO6
Source: the Alexandria database
Functional: PBE
Structure: relaxed

Computed properties:
- uncorrected energy (eV per atom) = -8.437
- raw formation energy (eV/atom) = -2.10

a b c (Å): 5.4173 5.4173 9.3202
angles (deg): 90.00 90.00 120.00
With the nearest neighbours (Å) after each atom.
Space group P-31c (No. 163)
Asymmetric unit:
Li 0.0000 0.0000 0.0000 [2 per cell]  6 O 2.32
Np 0.3333 0.6667 0.2500 [2 per cell]  6 O 2.13
Re 0.3333 0.6667 0.7500 [2 per cell]  6 O 1.95
O 0.0255 0.3699 0.6371 [12 per cell]  1 Re 1.95, 1 Np 2.13

Compound: Tb2Re3Tc
Source: the Alexandria database
Functional: PBE
Structure: relaxed

Computed properties:
- uncorrected energy (eV per atom) = -9.650

a b c (Å): 9.2774 5.3702 5.5055
angles (deg): 90.00 124.45 90.00
With the nearest neighbours (Å) after each atom.
Space group C2/m (No. 12)
Asymmetric unit:
Tb 0.1252 0.0000 0.3755 [4 per cell]  3 Tc 3.14-3.15, 9 Re 3.17-3.23, 4 Tb 3.30-3.41
Re 0.0000 0.5000 0.0000 [2 per cell]  4 Re 2.68, 2 Tc 2.75
Re 0.2500 0.2500 0.0000 [4 per cell]  4 Re 2.68-2.69, 2 Tc 2.75
Tc 0.0000 0.5000 0.5000 [2 per cell]  6 Re 2.75

Compound: NiPPb
Source: the Alexandria database
Functional: PBE
Structure: relaxed

Computed properties:
- uncorrected energy (eV per atom) = -5.126

a b c (Å): 3.8318 3.8318 4.6122
angles (deg): 90.00 90.00 120.00
With the nearest neighbours (Å) after each atom.
Space group P-6m2 (No. 187)
Asymmetric unit:
Ni 0.0000 0.0000 0.0000 [1 per cell]  3 P 2.21
P 0.6667 0.3333 0.0000 [1 per cell]  3 Ni 2.21
Pb 0.3333 0.6667 0.5000 [1 per cell]  6 Ni 3.20, 6 P 3.20

Compound: Ca2CdF6
Source: the Alexandria database
Functional: PBE
Structure: relaxed

Computed properties:
- uncorrected energy (eV per atom) = -5.129
- polymorph energy (0 for the lowest one) (meV/atom) = 27
- raw formation energy (eV/atom) = -3.33

a b c (Å): 5.2202 5.2202 10.7649
angles (deg): 90.00 90.00 90.00
With the nearest neighbours (Å) after each atom.
Space group P4_2/mnm (No. 136)
Asymmetric unit:
Ca 0.0000 0.0000 0.1669 [4 per cell]  6 F 2.27-2.30
Cd 0.0000 0.0000 0.5000 [2 per cell]  6 F 2.26-2.29
F 0.1928 0.1928 0.3335 [8 per cell]  2 Ca 2.27-2.29, 1 Cd 2.29
F 0.1938 0.1938 0.0000 [4 per cell]  1 Cd 2.26, 2 Ca 2.30

Compound: ScFe2Tc2
Source: the Alexandria database
Functional: PBE
Structure: relaxed

Computed properties:
- uncorrected energy (eV per atom) = -8.617
- polymorph energy (0 for the lowest one) (meV/atom) = 119

a b c (Å): 3.9413 3.9413 10.0951
angles (deg): 90.00 90.00 90.00
With the nearest neighbours (Å) after each atom.
Space group I4/mmm (No. 139)
Asymmetric unit:
Sc 0.0000 0.0000 0.0000 [2 per cell]  8 Tc 3.04, 8 Fe 3.20
Fe 0.0000 0.5000 0.2500 [4 per cell]  4 Tc 2.37
Tc 0.0000 0.0000 0.3807 [4 per cell]  4 Fe 2.37, 1 Tc 2.41

Compound: Ca2ZrRu
Source: the Alexandria database
Functional: PBE
Structure: relaxed

Computed properties:
- uncorrected energy (eV per atom) = -5.161
- polymorph energy (0 for the lowest one) (meV/atom) = 384

a b c (Å): 4.1370 4.1370 5.2995
angles (deg): 90.00 90.00 90.00
With the nearest neighbours (Å) after each atom.
Space group P4/mmm (No. 123)
Asymmetric unit:
Ca 0.0000 0.5000 0.0000 [2 per cell]  4 Ca 2.93
Zr 0.0000 0.0000 0.5000 [1 per cell]  4 Ru 2.93
Ru 0.5000 0.5000 0.5000 [1 per cell]  4 Zr 2.93

Number 1: DOS at the Fermi energy 7.208 states/eV per cell, M_tot 6.0 Bohr magnetons per cell. Number 2: DOS at the Fermi energy 9.978 states/eV per cell, M_tot 0.0 Bohr magnetons per cell. Number 3: DOS at the Fermi energy 1.890 states/eV per cell, M_tot 0.0 Bohr magnetons per cell. Number 4: DOS at the Fermi energy 0.000 states/eV per cell, M_tot 0.0 Bohr magnetons per cell. Number 5: DOS at the Fermi energy 8.686 states/eV per cell, M_tot 1.7 Bohr magnetons per cell. Number 6: DOS at the Fermi energy 3.435 states/eV per cell, M_tot 0.0 Bohr magnetons per cell.